(1)
! TlRe2Ni | Alexandria | meta-GGA SCAN | PBEsol geometry; values from VASP
! **Formation energy from the elements**: 0.9614 eV/atom
! **E above lowest polymorph**: 231 meV per atom
! **Symmetry**: Cmmm
&SYSTEM
  ibrav = 0, nat = 4, ntyp = 3
/
ATOMIC_SPECIES
Re 186.21 Re.upf
Ni 58.69 Ni.upf
Tl 204.38 Tl.upf
CELL_PARAMETERS angstrom
2.8273 0.0000 0.0000
0.0000 4.9272 0.0258
0.0000 -2.2398 4.3888
ATOMIC_POSITIONS crystal
Re 0.0000 0.0000 0.5000
Re 0.0000 0.5000 0.0000
Ni 0.5000 0.5000 0.5000
Tl 0.5000 0.0000 0.0000



(2)
! KLa2Ag | Alexandria | meta-GGA SCAN | PBEsol geometry; values from VASP
! **Formation energy from the elements**: 0.0388 eV/atom
! **E above lowest polymorph**: 0 meV per atom
! **Symmetry**: P4mm
&SYSTEM
  ibrav = 0, nat = 4, ntyp = 3
/
ATOMIC_SPECIES
Ag 107.87 Ag.upf
La 138.91 La.upf
K 39.10 K.upf
CELL_PARAMETERS angstrom
3.7735 0.0000 0.0000
0.0000 3.7735 0.0000
0.0000 0.0000 9.8499
ATOMIC_POSITIONS crystal
Ag 0.0000 0.0000 0.4554
La 0.0000 0.0000 0.0513
La 0.5000 0.5000 0.2956
K 0.5000 0.5000 0.6977



| no. | final energy (eV per cell) | Fermi-level density of states (states/eV/cell) |
| --- | --- | --- |
| 1 | -226.88 | 3.2 |
| 2 | -125.75 | 3.5 |